DFT (GGA-PBE) results for crystalline Tc2BiO4 at its relaxed geometry.

Results
Crystal system: cubic
SG: No. 227
Energy (eV per cell): -99.511
Density (kg/m³): 8146
Magnetic moment (μB/f.u.): 3.44

abc: 6.4670 6.4670 6.4670
angles: 120.01 89.98 120.01
Site moments in Bohr magnetons follow the coordinates.
Fractional positions:
O1 0.1914 0.7943 0.3971  0.06
O2 0.1472 0.2943 0.8529  0.06
O3 0.6029 0.7943 0.3972  0.06
O4 0.6029 0.2057 0.8086  0.06
O5 0.1471 0.7057 0.8528  0.06
O6 0.6028 0.2057 0.3971  0.06
O7 0.5586 0.7057 0.8529  0.06
O8 0.1471 0.2943 0.4414  0.06
Tc1 0.3750 0.7500 0.1250  1.54
Tc2 0.8750 0.2500 0.6250  1.59
Tc3 0.3750 0.7500 0.6250  1.53
Tc4 0.3750 0.2500 0.6250  1.60
Bi1 0.0000 0.0000 0.0000  -0.11
Bi2 0.7500 0.5000 0.2500  -0.11

---

DFT (GGA-PBE) results for crystalline Tc2Bi2O5 at its relaxed geometry.

Results
Crystal system: tetragonal
SG: No. 123
Energy (eV per cell): -60.375
Density (kg/m³): 10266
Magnetic moment (μB/f.u.): 0.01

abc: 6.9434 4.0207 4.0207
angles: 90.00 90.00 90.00
Fractional positions:
Bi1 0.5000 0.0000 0.0000
Bi2 0.0000 0.0000 0.0000
Tc1 0.8275 0.5000 0.5000
Tc2 0.1725 0.5000 0.5000
O1 0.2393 0.0000 0.5000
O2 0.2393 0.5000 0.0000
O3 0.7607 0.5000 0.0000
O4 0.7607 0.0000 0.5000
O5 0.5000 0.5000 0.5000